1.
4
Lattice="4.8125 -1.4881 0.0000 4.8125 1.4881 0.0000 -0.0406 0.0000 4.3068" Properties=species:S:1:pos:R:3 comment="PBE-GGA MoPPt2, optimized geometry" dos_at_fermi_per_ev_atom=0.696 spacegroup="No. 12" pbc="T T T"
Mo 0.0000 0.0000 0.0000
P 4.7922 0.0000 2.1534
Pt 2.6747 0.0000 1.0649
Pt 6.9097 0.0000 3.2420



2.
4
Lattice="4.5843 -1.4280 0.0000 4.5843 1.4280 0.0000 -1.9280 0.0000 4.6418" Properties=species:S:1:pos:R:3 comment="PBE-GGA MoPPt2, optimized geometry" dos_at_fermi_per_ev_atom=0.628 spacegroup="No. 8" pbc="T T T"
Mo 0.0000 0.0000 0.0000
P 0.5680 0.0000 4.2251
Pt 4.1161 0.0000 2.5681
Pt 6.5759 0.0000 1.4983



3.
4
Lattice="1.4327 0.8272 8.3952 -1.4327 0.8272 8.3952 0.0000 -1.6544 8.3952" Properties=species:S:1:pos:R:3 comment="PBE-GGA Mo2PPt, optimized geometry" dos_at_fermi_per_ev_atom=0.944 spacegroup="No. 166" pbc="T T T"
Mo 0.0000 0.0000 6.1035
Mo 0.0000 0.0000 19.0821
P 0.0000 0.0000 12.5928
Pt 0.0000 0.0000 0.0000



4.
3
Lattice="0.0000 2.8645 2.8645 2.8645 0.0000 2.8645 2.8645 2.8645 0.0000" Properties=species:S:1:pos:R:3 comment="PBE-GGA MoPPt, optimized geometry" dos_at_fermi_per_ev_atom=0.347 spacegroup="No. 216" pbc="T T T"
Mo 0.0000 0.0000 0.0000
P 1.4323 1.4323 1.4323
Pt 2.8645 2.8645 2.8645



5.
6
Lattice="0.0000 3.7047 3.7047 3.7047 0.0000 3.7047 3.7047 3.7047 0.0000" Properties=species:S:1:pos:R:3 comment="PBE-GGA MoPPt4, optimized geometry" dos_at_fermi_per_ev_atom=0.970 spacegroup="No. 216" pbc="T T T"
Mo 0.0000 0.0000 0.0000
P 5.5570 5.5570 5.5570
Pt 2.7757 2.7757 2.7757
Pt 4.6337 4.6337 2.7757
Pt 4.6337 2.7757 4.6337
Pt 2.7757 4.6337 4.6337



6.
4
Lattice="0.0000 3.0515 3.0515 3.0515 0.0000 3.0515 3.0515 3.0515 0.0000" Properties=species:S:1:pos:R:3 comment="PBE-GGA MoP2Pt, optimized geometry" dos_at_fermi_per_ev_atom=0.824 spacegroup="No. 225" pbc="T T T"
Mo 0.0000 0.0000 0.0000
P 1.5258 1.5258 1.5258
P 4.5773 4.5773 4.5773
Pt 3.0515 3.0515 3.0515



7.
4
Lattice="2.5565 -4.0867 0.0000 2.5565 4.0867 0.0000 0.0000 0.0000 2.8670" Properties=species:S:1:pos:R:3 comment="PBE-GGA Mo2PPt, optimized geometry" dos_at_fermi_per_ev_atom=1.014 spacegroup="No. 65" pbc="T T T"
Mo 1.2782 2.0434 0.0000
Mo 1.2782 -2.0434 0.0000
P 0.0000 0.0000 1.4335
Pt 2.5565 0.0000 1.4335



8.
5
Lattice="4.4423 0.0000 0.0000 0.0000 4.4423 0.0000 0.0000 0.0000 4.3465" Properties=species:S:1:pos:R:3 comment="PBE-GGA Mo2PRuPt, optimized geometry" dos_at_fermi_per_ev_atom=1.319 spacegroup="No. 123" pbc="T T T"
Mo 0.0000 2.2211 0.0000
Mo 2.2211 0.0000 0.0000
P 0.0000 0.0000 0.0000
Ru 2.2211 2.2211 2.1733
Pt 0.0000 0.0000 2.1733



9.
5
Lattice="4.5541 0.0000 0.0000 0.0000 4.5541 0.0000 0.0000 0.0000 4.8069" Properties=species:S:1:pos:R:3 comment="PBE-GGA MoPPtS2, optimized geometry" dos_at_fermi_per_ev_atom=1.048 formation_energy_uncorrected_mev_per_atom=688 spacegroup="No. 123" polymorph_energy_mev_per_atom=0 pbc="T T T"
Mo 0.0000 0.0000 0.0000
P 0.0000 0.0000 2.4035
Pt 2.2771 2.2771 2.4035
S 0.0000 2.2771 0.0000
S 2.2771 0.0000 0.0000



10.
5
Lattice="4.7114 0.0000 0.0000 0.0000 4.7114 0.0000 0.0000 0.0000 4.4751" Properties=species:S:1:pos:R:3 comment="PBE-GGA MoP2PtS, optimized geometry" dos_at_fermi_per_ev_atom=0.693 formation_energy_uncorrected_mev_per_atom=738 spacegroup="No. 123" polymorph_energy_mev_per_atom=0 pbc="T T T"
Mo 0.0000 0.0000 0.0000
P 0.0000 2.3557 0.0000
P 2.3557 0.0000 0.0000
Pt 2.3557 2.3557 2.2375
S 0.0000 0.0000 2.2375



11.
5
Lattice="4.7413 0.0000 0.0000 0.0000 4.7413 0.0000 0.0000 0.0000 4.5593" Properties=species:S:1:pos:R:3 comment="PBE-GGA MoPPtS2, optimized geometry" dos_at_fermi_per_ev_atom=0.592 formation_energy_uncorrected_mev_per_atom=991 spacegroup="No. 123" polymorph_energy_mev_per_atom=303 pbc="T T T"
Mo 0.0000 0.0000 0.0000
P 2.3706 2.3706 0.0000
Pt 2.3706 2.3706 2.2796
S 0.0000 2.3706 2.2796
S 2.3706 0.0000 2.2796



12.
5
Lattice="4.5893 0.0000 0.0000 0.0000 4.5893 0.0000 0.0000 0.0000 4.8162" Properties=species:S:1:pos:R:3 comment="PBE-GGA MoP2PtS, optimized geometry" dos_at_fermi_per_ev_atom=0.605 formation_energy_uncorrected_mev_per_atom=1063 spacegroup="No. 123" polymorph_energy_mev_per_atom=325 pbc="T T T"
Mo 0.0000 0.0000 0.0000
P 0.0000 2.2947 2.4081
P 2.2947 0.0000 2.4081
Pt 2.2947 2.2947 2.4081
S 2.2947 2.2947 0.0000



13.
5
Lattice="4.5728 0.0000 0.0000 0.0000 4.5728 0.0000 0.0000 0.0000 4.3404" Properties=species:S:1:pos:R:3 comment="PBE-GGA SiMo2PPt, optimized geometry" dos_at_fermi_per_ev_atom=1.022 formation_energy_uncorrected_mev_per_atom=969 spacegroup="No. 123" pbc="T T T"
Si 0.0000 0.0000 0.0000
Mo 0.0000 2.2864 0.0000
Mo 2.2864 0.0000 0.0000
P 2.2864 2.2864 2.1702
Pt 0.0000 0.0000 2.1702



14.
4
Lattice="0.0000 3.3829 3.3829 3.3829 0.0000 3.3829 3.3829 3.3829 0.0000" Properties=species:S:1:pos:R:3 comment="PBE-GGA RbMoP2, optimized geometry" dos_at_fermi_per_ev_atom=0.377 spacegroup="No. 225" polymorph_energy_mev_per_atom=998 pbc="T T T"
Rb 0.0000 0.0000 0.0000
Mo 3.3829 3.3829 3.3829
P 1.6915 1.6915 1.6915
P 5.0744 5.0744 5.0744



15.
5
Lattice="4.7024 0.0000 0.0000 0.0000 4.7024 0.0000 0.0000 0.0000 4.7024" Properties=species:S:1:pos:R:3 comment="PBE-GGA RbMo3P, optimized geometry" dos_at_fermi_per_ev_atom=1.634 spacegroup="No. 221" polymorph_energy_mev_per_atom=2199 pbc="T T T"
Rb 0.0000 0.0000 0.0000
Mo 0.0000 0.0000 2.3512
Mo 0.0000 2.3512 0.0000
Mo 2.3512 0.0000 0.0000
P 2.3512 2.3512 2.3512



16.
8
Lattice="-3.3388 3.3388 6.0625 3.3388 -3.3388 6.0625 3.3388 3.3388 -6.0625" Properties=species:S:1:pos:R:3 comment="PBE-GGA RbMoP2, optimized geometry" dos_at_fermi_per_ev_atom=0.262 spacegroup="No. 141" polymorph_energy_mev_per_atom=0 pbc="T T T"
Rb 3.3388 1.6694 1.5156
Rb 0.0000 1.6694 4.5469
Mo 3.3388 -1.6694 4.5469
Mo 0.0000 5.0082 1.5156
P 0.0000 0.0000 0.0000
P 1.6694 1.6694 -3.0313
P 1.6694 -1.6694 3.0313
P 0.0000 3.3388 0.0000



17.
8
Lattice="-6.6483 6.6483 2.3767 6.6483 -6.6483 2.3767 6.6483 6.6483 -2.3767" Properties=species:S:1:pos:R:3 comment="PBE-GGA Rb2MoP, optimized geometry" dos_at_fermi_per_ev_atom=0.633 spacegroup="No. 122" pbc="T T T"
Rb 0.6667 3.3242 0.5942
Rb -3.3242 5.9816 1.7825
Rb -0.6667 9.9725 0.5942
Rb 3.3242 7.3151 1.7825
Mo 6.6483 0.0000 1.1884
Mo 0.0000 0.0000 2.3767
P 0.0000 0.0000 0.0000
P 0.0000 6.6483 1.1884



18.
6
Lattice="3.8555 0.0000 0.0000 0.0000 3.8555 0.0000 0.0000 0.0000 12.0815" Properties=species:S:1:pos:R:3 comment="PBE-GGA RbMoP, optimized geometry" dos_at_fermi_per_ev_atom=0.478 spacegroup="No. 129" pbc="T T T"
Rb 0.9639 0.9639 2.4686
Rb 2.8916 2.8916 9.6129
Mo 0.9639 2.8916 6.0408
Mo 2.8916 0.9639 6.0408
P 0.9639 0.9639 7.6605
P 2.8916 2.8916 4.4210



19.
22
Lattice="10.4454 0.0000 0.0000 -5.2227 9.0460 0.0000 0.0000 0.0000 8.4003" Properties=species:S:1:pos:R:3 comment="PBE-GGA Rb6MoP4, optimized geometry" spacegroup="No. 186" pbc="T T T"
Rb -2.0888 4.8247 0.0000
Rb 0.0000 2.6480 2.6791
Rb -2.9295 7.7220 2.6791
Rb 2.2932 1.3240 6.8793
Rb 2.0888 4.8247 0.0000
Rb 0.0000 8.4426 0.0000
Rb 5.2227 0.6034 4.2002
Rb 3.1339 4.2213 4.2002
Rb 2.9295 7.7220 2.6791
Rb 8.1522 1.3240 6.8793
Rb 5.2227 6.3980 6.8793
Rb 7.3115 4.2213 4.2002
Mo 0.0000 6.0307 5.1019
Mo 5.2227 3.0153 0.9017
P 0.0000 3.8062 5.8454
P -1.9264 7.1429 5.8454
P 0.0000 6.0307 2.7807
P 3.2963 1.9031 1.6452
P 1.9264 7.1429 5.8454
P 5.2227 3.0153 6.9809
P 7.1491 1.9031 1.6452
P 5.2227 5.2398 1.6452



20.
5
Lattice="6.5833 0.0000 0.0000 0.0000 6.5833 0.0000 0.0000 0.0000 6.5833" Properties=species:S:1:pos:R:3 comment="PBE-GGA Rb3MoP, optimized geometry" dos_at_fermi_per_ev_atom=1.076 spacegroup="No. 221" polymorph_energy_mev_per_atom=0 pbc="T T T"
Rb 0.0000 0.0000 3.2917
Rb 0.0000 3.2917 0.0000
Rb 3.2917 0.0000 0.0000
Mo 3.2917 3.2917 3.2917
P 0.0000 0.0000 0.0000



21.
5
Lattice="4.6828 0.0000 0.0000 0.0000 4.6828 0.0000 0.0000 0.0000 4.6828" Properties=species:S:1:pos:R:3 comment="PBE-GGA RbMo3P, optimized geometry" dos_at_fermi_per_ev_atom=1.533 spacegroup="No. 221" polymorph_energy_mev_per_atom=0 pbc="T T T"
Rb 0.0000 0.0000 0.0000
Mo 0.0000 2.3414 2.3414
Mo 2.3414 0.0000 2.3414
Mo 2.3414 2.3414 0.0000
P 2.3414 2.3414 2.3414



22.
5
Lattice="6.6748 0.0000 0.0000 0.0000 6.6748 0.0000 0.0000 0.0000 4.3324" Properties=species:S:1:pos:R:3 comment="PBE-GGA Rb2VMoP, optimized geometry" dos_at_fermi_per_ev_atom=0.994 spacegroup="No. 123" pbc="T T T"
Rb 0.0000 3.3374 0.0000
Rb 3.3374 0.0000 0.0000
V 0.0000 0.0000 2.1662
Mo 0.0000 0.0000 0.0000
P 3.3374 3.3374 2.1662



23.
5
Lattice="5.1249 0.0000 0.0000 0.0000 5.1249 0.0000 0.0000 0.0000 4.7676" Properties=species:S:1:pos:R:3 comment="PBE-GGA RbZrMoP2, optimized geometry" dos_at_fermi_per_ev_atom=1.186 spacegroup="No. 123" pbc="T T T"
Rb 0.0000 0.0000 0.0000
Zr 2.5625 2.5625 2.3838
Mo 0.0000 0.0000 2.3838
P 0.0000 2.5625 0.0000
P 2.5625 0.0000 0.0000



24.
4
Lattice="3.0355 0.0000 0.0000 0.0000 3.8068 0.0000 0.0000 0.0000 5.0015" Properties=species:S:1:pos:R:3 comment="PBE-GGA ReMoP2, optimized geometry" dos_at_fermi_per_ev_atom=0.741 spacegroup="No. 47" polymorph_energy_mev_per_atom=650 pbc="T T T"
Re 0.0000 0.0000 0.0000
Mo 1.5178 0.0000 2.5007
P 0.0000 1.9034 2.5007
P 1.5178 1.9034 0.0000



25.
5
Lattice="4.7464 0.0000 0.0000 0.0000 4.7464 0.0000 0.0000 0.0000 4.7464" Properties=species:S:1:pos:R:3 comment="PBE-GGA ReMo3P, optimized geometry" dos_at_fermi_per_ev_atom=1.507 spacegroup="No. 221" polymorph_energy_mev_per_atom=1111 pbc="T T T"
Re 0.0000 0.0000 0.0000
Mo 0.0000 0.0000 2.3732
Mo 0.0000 2.3732 0.0000
Mo 2.3732 0.0000 0.0000
P 2.3732 2.3732 2.3732



26.
4
Lattice="0.0000 3.0654 3.0654 3.0654 0.0000 3.0654 3.0654 3.0654 0.0000" Properties=species:S:1:pos:R:3 comment="PBE-GGA ReMoP2, optimized geometry" dos_at_fermi_per_ev_atom=1.086 spacegroup="No. 216" polymorph_energy_mev_per_atom=885 pbc="T T T"
Re 0.0000 0.0000 0.0000
Mo 4.5980 4.5980 4.5980
P 1.5327 1.5327 1.5327
P 3.0654 3.0654 3.0654



27.
3
Lattice="-1.4576 2.0299 3.7047 1.4576 -2.0299 3.7047 1.4576 2.0299 -3.7047" Properties=species:S:1:pos:R:3 comment="PBE-GGA ReMoP, optimized geometry" dos_at_fermi_per_ev_atom=0.570 spacegroup="No. 44" polymorph_energy_mev_per_atom=294 pbc="T T T"
Re 0.0000 0.0000 0.0000
Mo 0.0000 0.0000 2.5305
P 0.0000 0.0000 4.9794



28.
3
Lattice="0.0000 2.9225 2.9225 2.9225 0.0000 2.9225 2.9225 2.9225 0.0000" Properties=species:S:1:pos:R:3 comment="PBE-GGA ReMoP, optimized geometry" dos_at_fermi_per_ev_atom=0.553 spacegroup="No. 216" polymorph_energy_mev_per_atom=250 pbc="T T T"
Re 0.0000 0.0000 0.0000
Mo 1.4613 1.4613 1.4613
P 4.3838 4.3838 4.3838



Number 1: total DFT energy (no corrections) -7.236 eV per atom, mass density 13.92 g/cm3. Number 2: total DFT energy (no corrections) -7.267 eV per atom, mass density 14.13 g/cm3. Number 3: total DFT energy (no corrections) -8.379 eV per atom, mass density 11.63 g/cm3. Number 4: total DFT energy (no corrections) -7.741 eV per atom, mass density 11.37 g/cm3. Number 5: total DFT energy (no corrections) -6.269 eV per atom, mass density 14.81 g/cm3. Number 6: total DFT energy (no corrections) -6.937 eV per atom, mass density 10.31 g/cm3. Number 7: total DFT energy (no corrections) -8.249 eV per atom, mass density 11.58 g/cm3. Number 8: total DFT energy (no corrections) -7.777 eV per atom, mass density 10.05 g/cm3. Number 9: total DFT energy (no corrections) -5.419 eV per atom, mass density 6.43 g/cm3. Number 10: total DFT energy (no corrections) -5.626 eV per atom, mass density 6.44 g/cm3. Number 11: total DFT energy (no corrections) -5.116 eV per atom, mass density 6.26 g/cm3. Number 12: total DFT energy (no corrections) -5.301 eV per atom, mass density 6.30 g/cm3. Number 13: total DFT energy (no corrections) -6.739 eV per atom, mass density 8.16 g/cm3. Number 14: total DFT energy (no corrections) -4.853 eV per atom, mass density 5.22 g/cm3. Number 15: total DFT energy (no corrections) -4.293 eV per atom, mass density 6.46 g/cm3. Number 16: total DFT energy (no corrections) -5.851 eV per atom, mass density 2.99 g/cm3. Number 17: total DFT energy (no corrections) -4.077 eV per atom, mass density 2.35 g/cm3. Number 18: total DFT energy (no corrections) -6.070 eV per atom, mass density 3.93 g/cm3. Number 19: total DFT energy (no corrections) -3.846 eV per atom, mass density 3.07 g/cm3. Number 20: total DFT energy (no corrections) -2.804 eV per atom, mass density 2.23 g/cm3. Number 21: total DFT energy (no corrections) -6.492 eV per atom, mass density 6.54 g/cm3. Number 22: total DFT energy (no corrections) -3.819 eV per atom, mass density 3.00 g/cm3. Number 23: total DFT energy (no corrections) -3.797 eV per atom, mass density 4.44 g/cm3. Number 24: total DFT energy (no corrections) -8.272 eV per atom, mass density 9.89 g/cm3. Number 25: total DFT energy (no corrections) -8.187 eV per atom, mass density 7.84 g/cm3. Number 26: total DFT energy (no corrections) -8.038 eV per atom, mass density 9.92 g/cm3. Number 27: total DFT energy (no corrections) -9.468 eV per atom, mass density 11.86 g/cm3. Number 28: total DFT energy (no corrections) -9.512 eV per atom, mass density 10.42 g/cm3.